The following is a DFT calculation (PBE with a Hubbard U) of crystalline SrFeOF2 at its relaxed geometry.

a = 4.518 Å, b = 4.518 Å, c = 4.873 Å
α = 90.00°, β = 90.00°, γ = 90.00°
Space group P4/mmm (No. 123)
Inequivalent atoms, fractional coordinates:
1 Sr 0.000 0.000 0.000 x1
2 Fe 0.500 0.500 0.500 x1
3 O 0.000 0.000 0.500 x1
4 F 0.000 0.500 0.000 x2

Properties
M_tot: 3.99 μB per cell
DOS(E_F): 0.245 states/eV/atom
Energy above the most stable polymorph in this dataset: 1.1096 eV/atom
Calculated total energy: -4.82 eV per atom